A relaxed structure of NbAl2Au8. Source: the Alexandria database, functional PBE.

Calculated values
The final energy comes out at -45.24 eV per cell. The value obtained for the formation energy is -0.1331 eV/atom.

Cell: 2.9076 7.4463 10.3992 Å, 60.95 81.89 90.09°
Fractional coordinates of all 11 atoms:
Au 0.0967 0.4564 0.7727
Au 0.3498 0.7935 0.2704
Au 0.9023 0.5440 0.1668
Au 0.1792 0.8966 0.6096
Au 0.8199 0.1035 0.3297
Au 0.4586 0.2641 0.0516
Au 0.6493 0.2070 0.6690
Au 0.5405 0.7373 0.8877
Al 0.2761 0.3382 0.4181
Al 0.7229 0.6618 0.5213
Nb 0.9995 0.0004 0.9698